Record 1
Pr3ZnTe2 (PBE, optimized geometry); E above lowest polymorph = 12.9 meV/atom; total moment = 0.0 μB/f.u.; Fermi-level density of states = 0.93 states/eV/atom
1.0
-3.295 -4.799 -5.026
2.396 -2.600 6.830
-6.359 4.011 2.309
Te Pr Zn
4 6 2
Direct
0.833 0.167 0.500 Te
0.171 0.829 0.500 Te
0.495 0.505 0.500 Te
0.333 0.667 0.000 Te
0.415 0.086 0.242 Pr
0.252 0.247 0.758 Pr
0.914 0.585 0.758 Pr
0.074 0.408 0.240 Pr
0.753 0.748 0.242 Pr
0.592 0.926 0.760 Pr
0.666 0.334 0.000 Zn
0.001 0.999 0.000 Zn

---

Record 2
Al6Te (PBE, optimized geometry); total moment = 0.0 μB/f.u.; Fermi-level density of states = 0.92 states/eV/atom
1.0
-2.558 5.639 -1.339
-3.697 -3.070 4.128
5.748 0.836 2.529
Al Te
6 1
Direct
0.500 0.750 0.250 Al
0.500 0.250 0.750 Al
0.250 0.750 0.500 Al
0.750 0.250 0.500 Al
0.750 0.500 0.250 Al
0.250 0.500 0.750 Al
0.000 0.000 0.000 Te

---

Record 3
BaTiP2Cl (PBE, optimized geometry); E above lowest polymorph = 1926.3 meV/atom; total moment = 1.6 μB/f.u.; Fermi-level density of states = 1.80 states/eV/atom
1.0
5.561 0.000 0.000
0.000 5.561 0.000
0.000 0.000 5.608
Cl Ba P Ti
1 1 2 1
Direct
0.000 0.000 0.500 Cl
0.000 0.000 0.000 Ba
0.000 0.500 0.000 P
0.500 0.000 0.000 P
0.500 0.500 0.500 Ti

---

Record 4
ThMn4Se8 (PBE, optimized geometry); total moment = 15.9 μB/f.u.; Fermi-level density of states = 0.53 states/eV/atom
1.0
6.826 0.000 3.113
2.703 6.268 3.113
0.481 0.317 7.985
Mn Se Th
4 8 1
Direct
0.500 0.000 0.000 Mn
0.000 0.000 0.000 Mn
0.000 0.500 0.000 Mn
0.500 0.500 0.000 Mn
0.238 0.740 0.783 Se
0.762 0.260 0.217 Se
0.260 0.762 0.217 Se
0.740 0.238 0.783 Se
0.733 0.733 0.802 Se
0.267 0.267 0.198 Se
0.762 0.762 0.217 Se
0.238 0.238 0.783 Se
0.500 0.500 0.500 Th

---

Record 5
LaCo3Ir (PBE, optimized geometry); E above lowest polymorph = 1329.9 meV/atom; calculated formation energy = 9.00 eV/f.u.; total moment = 3.5 μB/f.u.; Fermi-level density of states = 1.96 states/eV/atom
1.0
-0.045 -4.291 -1.239
2.415 -1.066 3.603
-3.757 -0.633 2.331
Ir La Co
1 1 3
Direct
0.500 0.500 0.500 Ir
0.000 0.000 0.000 La
0.000 0.000 0.500 Co
0.000 0.500 0.000 Co
0.500 0.000 0.000 Co

---

Record 6
NiIrRhW (PBE, optimized geometry); calculated formation energy = -0.91 eV/f.u.; total moment = 0.0 μB/f.u.; Fermi-level density of states = 0.94 states/eV/atom
1.0
3.873 0.000 0.000
0.000 3.873 0.000
-1.936 -1.936 3.716
Ni W Ir Rh
1 1 1 1
Direct
0.750 0.250 0.500 Ni
0.250 0.750 0.500 W
0.000 0.000 0.000 Ir
0.500 0.500 0.000 Rh

---

Record 7
Sm5Ga2Rh2 (PBE, optimized geometry); calculated formation energy = -5.02 eV/f.u.; total moment = 0.0 μB/f.u.; Fermi-level density of states = 0.69 states/eV/atom
1.0
8.295 0.000 0.000
0.000 6.373 -3.276
0.000 0.327 8.472
Sm Ga Rh
10 4 4
Direct
0.321 0.705 0.739 Sm
0.679 0.295 0.261 Sm
0.321 0.966 0.261 Sm
0.821 0.795 0.261 Sm
0.000 0.000 0.000 Sm
0.821 0.534 0.739 Sm
0.679 0.034 0.739 Sm
0.500 0.500 0.000 Sm
0.179 0.466 0.261 Sm
0.179 0.205 0.739 Sm
0.500 0.290 0.580 Ga
0.000 0.210 0.420 Ga
0.500 0.710 0.420 Ga
0.000 0.790 0.580 Ga
0.873 0.373 0.000 Rh
0.127 0.627 0.000 Rh
0.627 0.873 0.000 Rh
0.373 0.127 0.000 Rh

---

Record 8
Tb6Sm2Tm3Mg (PBE, optimized geometry); calculated formation energy = 0.25 eV/f.u.; total moment = 0.0 μB/f.u.; Fermi-level density of states = 1.30 states/eV/atom
1.0
6.114 -0.004 -0.001
-3.059 5.294 -0.001
-1.024 -1.773 11.501
Tb Mg Tm Sm
6 1 3 2
Direct
0.415 0.084 0.252 Tb
0.585 0.916 0.748 Tb
0.084 0.415 0.252 Tb
0.916 0.585 0.748 Tb
0.751 0.751 0.253 Tb
0.249 0.249 0.747 Tb
0.000 0.000 0.000 Mg
0.166 0.834 0.500 Tm
0.500 0.500 0.500 Tm
0.834 0.166 0.500 Tm
0.334 0.666 0.000 Sm
0.666 0.334 0.000 Sm

---

Record 9
Sm3InPb2 (PBE, optimized geometry); E above lowest polymorph = 11.2 meV/atom; calculated formation energy = -2.69 eV/f.u.; total moment = 0.0 μB/f.u.; Fermi-level density of states = 0.62 states/eV/atom
1.0
4.765 0.000 0.000
0.000 11.956 0.000
0.000 0.000 12.796
Sm In Pb
12 4 8
Direct
0.750 0.314 0.795 Sm
0.750 0.875 0.463 Sm
0.250 0.814 0.705 Sm
0.750 0.186 0.295 Sm
0.750 0.574 0.639 Sm
0.250 0.426 0.361 Sm
0.250 0.375 0.037 Sm
0.250 0.686 0.205 Sm
0.750 0.625 0.963 Sm
0.750 0.926 0.139 Sm
0.250 0.125 0.537 Sm
0.250 0.074 0.861 Sm
0.250 0.364 0.645 In
0.750 0.636 0.355 In
0.750 0.864 0.855 In
0.250 0.136 0.145 In
0.750 0.324 0.504 Pb
0.250 0.968 0.320 Pb
0.250 0.676 0.496 Pb
0.750 0.032 0.680 Pb
0.250 0.532 0.820 Pb
0.750 0.468 0.180 Pb
0.750 0.176 0.004 Pb
0.250 0.824 0.996 Pb

---

Record 10
Cd3GaH (PBE, optimized geometry); E above lowest polymorph = 0.0 meV/atom; total moment = 0.0 μB/f.u.; Fermi-level density of states = 0.40 states/eV/atom
1.0
-3.033 -1.190 3.181
-1.454 -3.398 -2.658
3.069 -2.787 1.883
Ga Cd H
1 3 1
Direct
0.500 0.500 0.500 Ga
0.000 0.500 0.000 Cd
0.500 0.000 0.000 Cd
0.000 0.000 0.500 Cd
0.000 0.000 0.000 H

---

Record 11
RbSrNb (PBE, optimized geometry); E above lowest polymorph = 927.2 meV/atom; calculated formation energy = 3.99 eV/f.u.; total moment = 2.7 μB/f.u.; Fermi-level density of states = 1.07 states/eV/atom
1.0
-1.742 5.922 0.861
-2.382 -4.503 3.591
2.518 0.421 2.198
Sr Nb Rb
1 1 1
Direct
0.333 0.667 0.000 Sr
0.667 0.333 0.000 Nb
0.000 0.000 0.500 Rb

---

Record 12
Li2La2TmPb2 (PBE, optimized geometry); calculated formation energy = -2.40 eV/f.u.; total moment = 0.0 μB/f.u.; Fermi-level density of states = 0.73 states/eV/atom
1.0
-0.561 4.695 1.084
-4.439 1.798 0.767
-0.916 0.170 9.642
Li Pb La Tm
2 2 2 1
Direct
0.607 0.607 0.178 Li
0.393 0.393 0.822 Li
0.270 0.270 0.190 Pb
0.730 0.730 0.810 Pb
0.870 0.870 0.391 La
0.130 0.130 0.609 La
0.000 0.000 0.000 Tm

---

Calculated total energy values (in eV/atom) by entry order: -4.69, -2.92, -3.63, -6.20, -5.22, -8.96, -5.49, -4.33, -4.50, -1.52, -2.91, -4.00.